# 1
Material: CdCoPS2
Method: DFT, PBE
State: relaxed

Lattice parameters (Å, degrees): 4.745 4.092 4.745 90.00 90.00 90.00
Positions (direct):
Co  0.000  0.000  0.000
S  0.000  0.000  0.500
S  0.500  0.000  0.000
P  0.000  0.500  0.000
Cd  0.500  0.500  0.500

Summary:
The energy above the most stable polymorph in this dataset is 0.000 eV/atom. The calculation puts the calculated volume at 18.4 Å³/atom.

=====

# 2
Material: AlHg2Pt
Method: DFT, PBE
State: relaxed

Lattice parameters (Å, degrees): 5.216 5.216 5.216 133.15 133.31 68.29
Positions (direct):
Pt  0.750  0.250  0.500
Hg  0.500  0.500  0.000
Hg  0.000  0.000  0.000
Al  0.250  0.750  0.500

Summary:
The value obtained for the formation energy is 0.01 eV per atom. The calculation puts the calculated volume at 18.5 Å³/atom.

=====

# 3
Material: LaBi2H
Method: DFT, PBE
State: relaxed

Lattice parameters (Å, degrees): 7.476 7.476 6.471 54.71 54.71 90.00
Positions (direct):
H  0.250  0.750  0.500
H  0.500  0.500  0.000
La  0.750  0.250  0.500
La  0.000  0.000  0.000
Bi  0.375  0.489  0.750
Bi  0.239  0.625  0.250
Bi  0.875  0.761  0.750
Bi  0.511  0.125  0.250

Summary:
The energy above the most stable polymorph in this dataset is 0.000 eV/atom. The calculation puts the calculated volume at 26.1 Å³/atom.

=====

# 4
Material: K3AcPm2S6
Method: DFT, PBE
State: relaxed

Lattice parameters (Å, degrees): 7.373 7.373 7.800 99.07 99.07 120.01
Positions (direct):
S  0.724  0.724  0.209
S  0.931  0.584  0.792
S  0.276  0.276  0.791
S  0.416  0.069  0.208
S  0.584  0.931  0.792
S  0.069  0.416  0.208
Pm  0.667  0.333  0.000
Pm  0.333  0.667  0.000
K  0.166  0.834  0.500
K  0.500  0.500  0.500
K  0.834  0.166  0.500
Ac  0.000  0.000  0.000

Summary:
For the total energy, the calculation gives -5.3395 eV/atom. The calculation puts the calculated volume at 29.0 Å³/atom.

=====

# 5
Material: HgBiI3
Method: DFT, PBE
State: relaxed

Lattice parameters (Å, degrees): 5.931 5.931 5.931 90.00 90.00 90.00
Positions (direct):
I  0.000  0.500  0.000
I  0.000  0.000  0.500
I  0.500  0.000  0.000
Hg  0.000  0.000  0.000
Bi  0.500  0.500  0.500

Summary:
The energy above the most stable polymorph in this dataset is 0.588 eV/atom. The calculation puts the calculated volume at 41.7 Å³/atom.

=====

# 6
Material: Ca2LaCdO
Method: DFT, PBE
State: relaxed

Lattice parameters (Å, degrees): 4.881 4.881 5.169 90.00 90.00 90.00
Positions (direct):
Ca  0.000  0.500  0.000
Ca  0.500  0.000  0.000
O  0.000  0.000  0.000
Cd  0.500  0.500  0.500
La  0.000  0.000  0.500

Summary:
For the total energy, the calculation gives -4.2324 eV/atom. The calculation puts the calculated volume at 24.6 Å³/atom.